[1]
SrHo3Tc | PBE | relaxed

```
5
Lattice="-2.774 -0.539 -4.686 4.284 -2.562 -2.242 -1.973 -4.805 1.721" Properties=species:S:1:pos:R:3 pbc="T T T"
Ho -0.987 -2.403 0.861
Ho 2.142 -1.281 -1.121
Ho -1.387 -0.270 -2.343
Sr -0.232 -3.953 -2.603
Tc 0.000 0.000 0.000
```

V in Å³/cell: 163.86
E_form in meV per atom: 54
Calculated density in Mg/m³: 6.90

***

[2]
Tb2Al2Ga | PBE | relaxed

```
5
Lattice="3.510 0.000 0.000 0.000 4.183 -1.357 0.000 0.102 7.439" Properties=species:S:1:pos:R:3 pbc="T T T"
Tb 0.000 2.924 1.888
Tb 0.000 3.960 5.078
Al 1.755 1.356 4.180
Al 1.755 2.127 -0.569
Ga 1.755 0.479 1.476
```

V in Å³/cell: 109.71
E_form in meV per atom: -502
Calculated density in Mg/m³: 6.68

***

[3]
K6Fe3I14 | PBE | relaxed

```
23
Lattice="-4.984 -2.935 -4.295 3.980 -11.599 3.309 -9.146 5.727 6.699" Properties=species:S:1:pos:R:3 pbc="T T T"
K -10.942 -1.753 4.753
K -4.090 -7.179 6.521
K 0.949 -9.441 2.220
K -6.748 -5.224 2.259
K -1.920 -3.132 1.237
K -7.933 0.171 -0.053
Fe -4.211 -2.480 -3.628
Fe -6.501 -1.067 4.078
Fe -2.732 -7.200 2.425
I -8.415 0.620 3.660
I -1.505 -8.589 4.575
I -9.582 -6.977 4.190
I -6.511 -2.503 -2.431
I -9.696 -2.949 1.324
I -2.425 -1.428 -2.090
I -12.692 0.812 2.476
I -5.271 -8.208 3.305
I -2.336 -9.537 0.808
I -3.198 -4.894 4.015
I -5.445 -1.714 1.808
I -7.482 -3.190 5.181
I -3.998 -5.861 0.225
I -0.246 -6.203 1.484
```

V in Å³/cell: 1006.43
Calculated density in Mg/m³: 3.59
Raw formation energy in eV/atom: -0.837

***

[4]
SrTh2Hg6 | PBE | relaxed

```
9
Lattice="3.468 0.084 -0.163 -0.390 7.673 -4.353 0.406 -0.055 8.823" Properties=species:S:1:pos:R:3 pbc="T T T"
Th 3.606 2.604 4.267
Th -0.123 5.097 0.039
Hg 1.743 2.587 1.412
Hg 1.873 0.023 2.866
Hg 1.740 5.114 2.895
Hg 2.009 2.550 7.286
Hg 1.610 7.678 1.440
Hg 1.880 5.096 5.842
Sr 0.000 0.000 0.000
```

V in Å³/cell: 234.57
E_form in meV per atom: -320
Calculated density in Mg/m³: 12.43

***

Q: V of number 3 (K6Fe3I14)?
A: 1006.43 Å³/cell

***

Q: Which of these has the lowest calculated density?
A: K6Fe3I14

***

Q: Among the records above, which one has the highest V?
A: K6Fe3I14